# 1
Computed, not measured: Pr6InHg5 after structural relaxation at the PBE level of DFT.

a b c (Å): 5.461 7.786 8.643
angles (deg): 90.00 108.30 90.00
Fractional positions:
Pr: 0.000 0.248 0.000
Pr: 0.000 0.752 0.000
Pr: 0.331 0.250 0.665
Pr: 0.331 0.750 0.665
Pr: 0.669 0.250 0.335
Pr: 0.669 0.750 0.335
In: 0.500 0.500 0.000
Hg: 0.166 0.500 0.330
Hg: 0.168 0.000 0.333
Hg: 0.500 0.000 0.000
Hg: 0.832 0.000 0.667
Hg: 0.834 0.500 0.670

Calculated values
SG: P2/m (10)
DFT total energy: -3.214 eV/atom
Energy relative to the elements: -0.47 eV/atom

# 2
Computed, not measured: Ba2Cd2Bi3 after structural relaxation at the PBE level of DFT.

a b c (Å): 9.612 9.612 13.922
angles (deg): 125.44 125.44 30.43
Fractional positions:
Ba: 0.095 0.095 0.436
Ba: 0.239 0.239 0.840
Ba: 0.761 0.761 0.160
Ba: 0.905 0.905 0.564
Cd: 0.092 0.092 0.157
Cd: 0.457 0.457 0.192
Cd: 0.543 0.543 0.808
Cd: 0.908 0.908 0.843
Bi: 0.114 0.114 0.958
Bi: 0.340 0.340 0.689
Bi: 0.412 0.412 0.372
Bi: 0.588 0.588 0.628
Bi: 0.660 0.660 0.311
Bi: 0.886 0.886 0.042

Calculated values
SG: C2/m (12)
DFT total energy: -3.054 eV/atom
Energy relative to the elements: -0.58 eV/atom
ΔE to the lowest computed polymorph: 0 meV/atom

# 3
Computed, not measured: Na2PuPaBi4 after structural relaxation at the PBE level of DFT.

a b c (Å): 7.475 4.758 8.171
angles (deg): 90.00 111.82 90.00
Fractional positions:
Na: 0.000 0.000 0.000
Na: 0.000 0.500 0.500
Pu: 0.500 0.000 0.500
Pa: 0.500 0.500 0.000
Bi: 0.273 0.000 0.761
Bi: 0.274 0.500 0.254
Bi: 0.726 0.500 0.746
Bi: 0.727 0.000 0.239

Calculated values
SG: P2/m (10)
DFT total energy: -5.397 eV/atom
Energy relative to the elements: -0.15 eV/atom